No. 1
Entry from Alexandria: Y2SBr after structural relaxation (PBE).

a = 3.8346 Å, b = 3.8346 Å, c = 22.7029 Å
α = 90.00°, β = 90.00°, γ = 120.00°
Space group R-3m (No. 166, hexagonal axes)
Unique sites:
Y (0.0000, 0.0000, 0.2326) [6 per cell]
S (0.0000, 0.0000, 0.5000) [3 per cell]
Br (0.0000, 0.0000, 0.0000) [3 per cell]

Output
Final energy in eV/atom: -6.169
V in Å³/atom: 24.09
Energy relative to the lowest polymorph listed for this composition in eV/atom: 0.000
ΔE_f (raw) in eV/atom: -1.487

No. 2
Entry from Alexandria: Y2SBr after structural relaxation (PBE).

a = 3.8023 Å, b = 3.8023 Å, c = 22.9381 Å
α = 90.00°, β = 90.00°, γ = 120.00°
Space group R3m (No. 160, hexagonal axes)
Unique sites:
Y (0.0000, 0.0000, 0.0000) [3 per cell]
Y (0.0000, 0.0000, 0.1978) [3 per cell]
S (0.0000, 0.0000, 0.5995) [3 per cell]
Br (0.0000, 0.0000, 0.7680) [3 per cell]

Output
Final energy in eV/atom: -6.167
V in Å³/atom: 23.93
Energy relative to the lowest polymorph listed for this composition in eV/atom: 0.002
ΔE_f (raw) in eV/atom: -1.485

Calculated density per entry: 4.99, 5.03 g cm⁻³